[1]
First-principles (PBE) data for a relaxed structure of AcZnAu4, as listed in Alexandria via LeMat-Bulk.

Output
Polymorph energy (0 for the lowest one)   0 meV per atom

Lattice parameters (Å, degrees): 8.0629 8.0629 8.0629 90.00 90.00 90.00
With the nearest neighbours (Å) after each atom.
Space group F-43m (No. 216)
Symmetry-distinct sites (fractional):
Ac (0.0000, 0.0000, 0.0000)  12 Au 3.35, 4 Zn 3.49
Zn (0.2500, 0.2500, 0.7500)  12 Au 3.34, 4 Ac 3.49
Au (0.1240, 0.1240, 0.3760)  6 Au 2.83-2.87



[2]
First-principles (PBE) data for a relaxed structure of Ac2Zn6Au3, as listed in Alexandria via LeMat-Bulk.

Lattice parameters (Å, degrees): 8.0831 8.0831 4.2246 90.00 90.00 120.00
With the nearest neighbours (Å) after each atom.
Space group P-62m (No. 189)
Symmetry-distinct sites (fractional):
Ac (0.3333, 0.6667, 0.0000)  6 Au 3.28, 9 Zn 3.47-3.64
Zn (0.0000, 0.1823, 0.0000)  2 Zn 2.55, 2 Au 2.68
Zn (0.0000, 0.7250, 0.5000)  3 Au 2.74-2.78, 4 Zn 2.88
Au (0.0000, 0.3861, 0.5000)  5 Zn 2.68-2.78



[3]
First-principles (PBE) data for a relaxed structure of AcZn3Au9, as listed in Alexandria via LeMat-Bulk.

Lattice parameters (Å, degrees): 5.4417 13.6710 7.0007 90.00 108.18 90.00
With the nearest neighbours (Å) after each atom.
Space group C2/m (No. 12)
Symmetry-distinct sites (fractional):
Ac (0.0000, 0.0000, 0.0000)  14 Au 3.31-3.50, 4 Zn 3.68
Zn (0.0000, 0.5000, 0.5000)  6 Au 2.63-2.72
Zn (0.2500, 0.2500, 0.0000)  2 Zn 2.72, 8 Au 2.74-2.79
Au (0.0000, 0.0000, 0.5000)  2 Zn 2.72, 8 Au 2.90-2.93
Au (0.0807, 0.3897, 0.2168)  3 Zn 2.63-2.77, 3 Au 2.89-2.94
Au (0.1368, 0.1787, 0.3346)  2 Zn 2.78-2.79, 5 Au 2.90-3.03



[4]
First-principles (PBE) data for a relaxed structure of Ac3Zn4Au2, as listed in Alexandria via LeMat-Bulk.

Lattice parameters (Å, degrees): 11.4349 4.6771 9.1421 90.00 109.50 90.00
With the nearest neighbours (Å) after each atom.
Space group C2/m (No. 12)
Symmetry-distinct sites (fractional):
Ac (0.0000, 0.0000, 0.0000)  8 Zn 3.33-3.40, 4 Au 3.35
Ac (0.1710, 0.5000, 0.6642)  8 Zn 3.33-3.42, 4 Au 3.34-3.43
Zn (0.0460, 0.0000, 0.3850)  1 Zn 2.65, 2 Au 2.74
Zn (0.2267, 0.5000, 0.0556)  2 Zn 2.67, 1 Au 2.76
Au (0.1088, 0.5000, 0.2749)  3 Zn 2.74-2.76



[5]
First-principles (PBE) data for a relaxed structure of Ac3Zn2Au4, as listed in Alexandria via LeMat-Bulk.

Lattice parameters (Å, degrees): 11.6095 4.6807 9.1988 90.00 109.93 90.00
With the nearest neighbours (Å) after each atom.
Space group C2/m (No. 12)
Symmetry-distinct sites (fractional):
Ac (0.0000, 0.0000, 0.0000)  8 Au 3.32-3.57, 4 Zn 3.44
Ac (0.1620, 0.5000, 0.6712)  8 Au 3.32-3.47, 4 Zn 3.38-3.40
Zn (0.1162, 0.5000, 0.2873)  3 Au 2.65-2.66
Au (0.0642, 0.0000, 0.3872)  2 Zn 2.66, 1 Au 2.94
Au (0.2143, 0.5000, 0.0661)  1 Zn 2.65, 2 Au 2.89



[6]
First-principles (PBE) data for a relaxed structure of Ac8ZnAu2, as listed in Alexandria via LeMat-Bulk.

Output
Polymorph energy (0 for the lowest one)   0 meV per atom

Lattice parameters (Å, degrees): 20.0798 5.6209 7.5185 90.00 107.30 90.00
With the nearest neighbours (Å) after each atom.
Space group C2/m (No. 12)
Symmetry-distinct sites (fractional):
Ac (0.0271, 0.0000, 0.2819)  1 Au 3.11, 2 Zn 3.38
Ac (0.0906, 0.5000, 0.9654)  1 Zn 3.43, 2 Au 3.62, 6 Ac 3.79-3.83
Ac (0.1709, 0.5000, 0.4921)  3 Au 3.11-3.40, 1 Zn 3.45
Ac (0.1992, 0.0000, 0.8449)  1 Au 3.15
Zn (0.0000, 0.5000, 0.5000)  8 Ac 3.38-3.45
Au (0.1770, 0.0000, 0.2431)  5 Ac 3.11-3.40



[7]
First-principles (PBE) data for a relaxed structure of AcZnAu5, as listed in Alexandria via LeMat-Bulk.

Lattice parameters (Å, degrees): 9.0065 5.8437 11.2750 90.00 90.00 90.00
With the nearest neighbours (Å) after each atom.
Space group Pnma (No. 62)
Symmetry-distinct sites (fractional):
Ac (0.2429, 0.2500, 0.0611)  11 Au 3.24-3.55, 1 Zn 3.40
Zn (0.1562, 0.7500, 0.8517)  2 Au 2.60-2.89
Au (0.0601, 0.0138, 0.2970)  7 Au 2.76-3.08, 2 Zn 2.92-2.97
Au (0.0748, 0.7500, 0.0728)  1 Zn 2.60, 1 Au 2.90
Au (0.0996, 0.2500, 0.5178)  6 Au 2.87-3.00, 1 Zn 2.89
Au (0.1828, 0.2500, 0.7736)  6 Au 2.79-2.98, 2 Zn 3.06



[8]
First-principles (PBE) data for a relaxed structure of AcZn4Au12, as listed in Alexandria via LeMat-Bulk.

Lattice parameters (Å, degrees): 9.0003 9.0003 9.0003 90.00 90.00 90.00
With the nearest neighbours (Å) after each atom.
Space group Im-3 (No. 204)
Symmetry-distinct sites (fractional):
Ac (0.0000, 0.0000, 0.0000)  12 Au 3.41
Zn (0.2500, 0.2500, 0.2500)  6 Au 2.55
Au (0.0000, 0.3453, 0.1553)  2 Zn 2.55, 2 Au 2.78-2.80



[9]
First-principles (PBE) data for a relaxed structure of AcZn6Au2, as listed in Alexandria via LeMat-Bulk.

Output
Polymorph energy (0 for the lowest one)   0 meV per atom

Lattice parameters (Å, degrees): 4.3356 4.3356 9.1414 90.00 90.00 90.00
With the nearest neighbours (Å) after each atom.
Space group P4/mmm (No. 123)
Symmetry-distinct sites (fractional):
Ac (0.0000, 0.0000, 0.0000)  8 Au 3.37, 8 Zn 3.64
Zn (0.0000, 0.0000, 0.5000)  8 Zn 2.72
Zn (0.0000, 0.5000, 0.3204)  2 Au 2.65, 4 Zn 2.72
Zn (0.5000, 0.5000, 0.5000)  8 Zn 2.72
Au (0.5000, 0.5000, 0.1537)  4 Zn 2.65, 1 Au 2.81



[10]
First-principles (PBE) data for a relaxed structure of AcZn3Au2, as listed in Alexandria via LeMat-Bulk.

Output
Polymorph energy (0 for the lowest one)   0 meV per atom

Lattice parameters (Å, degrees): 16.7003 4.3420 7.8537 90.00 115.82 90.00
With the nearest neighbours (Å) after each atom.
Space group C2/m (No. 12)
Symmetry-distinct sites (fractional):
Ac (0.1436, 0.0000, 0.0601)  7 Au 3.29-3.43, 6 Zn 3.54-3.62
Zn (0.0405, 0.0000, 0.3911)  3 Zn 2.60-2.90, 3 Au 2.61-2.70
Zn (0.0946, 0.5000, 0.6627)  3 Au 2.65-2.72, 3 Zn 2.68-2.90
Zn (0.1890, 0.5000, 0.4607)  4 Au 2.67-2.82, 3 Zn 2.68-2.85
Au (0.0219, 0.5000, 0.1922)  4 Zn 2.61-2.67, 1 Au 2.78
Au (0.1992, 0.0000, 0.6993)  6 Zn 2.67-2.82



[11]
First-principles (PBE) data for a relaxed structure of AcZn12Au6, as listed in Alexandria via LeMat-Bulk.

Lattice parameters (Å, degrees): 11.5663 11.5663 9.0807 90.00 90.00 120.00
With the nearest neighbours (Å) after each atom.
Space group R-3m (No. 166, hexagonal axes)
Symmetry-distinct sites (fractional):
Ac (0.0000, 0.0000, 0.0000)  6 Zn 3.33
Zn (0.0000, 0.3910, 0.5000)  1 Zn 2.52, 4 Au 2.58-2.67
Zn (0.0859, 0.1718, 0.3140)  4 Au 2.68-2.91, 4 Zn 2.83-2.98
Au (0.0435, 0.5218, 0.2458)  7 Zn 2.58-2.71



[12]
First-principles (PBE) data for a relaxed structure of AcZn3Au3, as listed in Alexandria via LeMat-Bulk.

Output
Polymorph energy (0 for the lowest one)   0 meV per atom

Lattice parameters (Å, degrees): 7.2787 4.6235 9.4334 90.00 111.98 90.00
With the nearest neighbours (Å) after each atom.
Space group P2_1/m (No. 11)
Symmetry-distinct sites (fractional):
Ac (0.2103, 0.2500, 0.3176)  9 Au 3.21-3.50, 2 Zn 3.50
Zn (0.1961, 0.2500, 0.9144)  4 Au 2.61-2.73, 3 Zn 2.67-2.81
Zn (0.4166, 0.7500, 0.9166)  8 Zn 2.67-2.92, 2 Au 2.68-2.69
Zn (0.4725, 0.2500, 0.7520)  4 Au 2.67-2.75, 4 Zn 2.90-2.95
Au (0.0657, 0.2500, 0.6160)  2 Zn 2.61-2.75, 1 Au 2.84
Au (0.1516, 0.7500, 0.0521)  5 Zn 2.67-2.73
Au (0.3227, 0.7500, 0.6127)  3 Zn 2.68-2.69, 3 Au 2.84-2.98



[13]
First-principles (PBE) data for a relaxed structure of Ac8ZnAu2, as listed in Alexandria via LeMat-Bulk.

Output
Polymorph energy (0 for the lowest one)   88 meV per atom

Lattice parameters (Å, degrees): 9.4021 14.6879 6.4832 90.00 108.07 90.00
With the nearest neighbours (Å) after each atom.
Space group Cm (No. 8)
Symmetry-distinct sites (fractional):
Ac (0.0000, 0.0000, 0.0000)  2 Au 3.52, 1 Zn 3.53, 1 Ac 3.93
Ac (0.0814, 0.3735, 0.7804)  2 Au 3.13-3.21, 1 Zn 3.42
Ac (0.1514, 0.1265, 0.5670)  2 Au 3.15-3.26, 1 Zn 3.39
Ac (0.2431, 0.5000, 0.3756)  1 Zn 3.45, 2 Au 3.52
Ac (0.3607, 0.2204, 0.1819)  1 Zn 3.41, 2 Au 3.45-3.48, 2 Ac 3.81
Zn (0.3711, 0.0000, 0.3510)  8 Ac 3.39-3.53
Au (0.3704, 0.3035, 0.6886)  6 Ac 3.13-3.48



[14]
First-principles (PBE) data for a relaxed structure of Ac6ZnAu5, as listed in Alexandria via LeMat-Bulk.

Lattice parameters (Å, degrees): 5.5235 7.8371 16.6111 90.00 90.00 90.00
With the nearest neighbours (Å) after each atom.
Space group Immm (No. 71)
Symmetry-distinct sites (fractional):
Ac (0.0000, 0.2452, 0.0000)  6 Au 3.30-3.39, 2 Zn 3.41
Ac (0.0000, 0.2519, 0.3320)  7 Au 3.36-3.48, 1 Zn 3.42
Zn (0.0000, 0.0000, 0.5000)  8 Ac 3.41-3.42, 4 Au 3.81
Au (0.0000, 0.0000, 0.1681)  8 Ac 3.36-3.39
Au (0.0000, 0.5000, 0.1584)  8 Ac 3.30-3.48
Au (0.0000, 0.5000, 0.5000)  8 Ac 3.36-3.40



[15]
First-principles (PBE) data for a relaxed structure of AcZn6Au4, as listed in Alexandria via LeMat-Bulk.

Lattice parameters (Å, degrees): 7.5094 7.5094 4.2993 90.00 90.00 120.00
With the nearest neighbours (Å) after each atom.
Space group P-6m2 (No. 187)
Symmetry-distinct sites (fractional):
Ac (0.0000, 0.0000, 0.0000)  6 Au 3.35, 6 Zn 3.47
Zn (0.2095, 0.4189, 0.5000)  4 Au 2.65-2.69, 2 Zn 2.79
Zn (0.5388, 0.0777, 0.0000)  5 Au 2.67-2.75, 2 Zn 2.88
Au (0.3333, 0.6667, 0.0000)  9 Zn 2.67-2.69
Au (0.3944, 0.1972, 0.5000)  6 Zn 2.65-2.75



[16]
First-principles (PBE) data for a relaxed structure of Ac5ZnAu4, as listed in Alexandria via LeMat-Bulk.

Lattice parameters (Å, degrees): 3.9170 3.9170 19.5239 90.00 90.00 90.00
With the nearest neighbours (Å) after each atom.
Space group P4/mmm (No. 123)
Symmetry-distinct sites (fractional):
Ac (0.0000, 0.0000, 0.0000)  8 Au 3.38
Ac (0.0000, 0.0000, 0.2004)  8 Au 3.40
Ac (0.0000, 0.0000, 0.3994)  4 Au 3.37, 4 Zn 3.40
Zn (0.5000, 0.5000, 0.5000)  8 Ac 3.40
Au (0.5000, 0.5000, 0.0995)  8 Ac 3.38-3.40
Au (0.5000, 0.5000, 0.3013)  8 Ac 3.37-3.40



[17]
First-principles (PBE) data for a relaxed structure of AcZnAu, as listed in Alexandria via LeMat-Bulk.

Output
Polymorph energy (0 for the lowest one)   0 meV per atom

Lattice parameters (Å, degrees): 4.6928 4.6928 4.0697 90.00 90.00 120.00
With the nearest neighbours (Å) after each atom.
Space group P-6m2 (No. 187)
Symmetry-distinct sites (fractional):
Ac (0.0000, 0.0000, 0.0000)  6 Zn 3.39, 6 Au 3.39
Zn (0.3333, 0.6667, 0.5000)  3 Au 2.71
Au (0.6667, 0.3333, 0.5000)  3 Zn 2.71



[18]
First-principles (PBE) data for a relaxed structure of Ac2Zn3Au, as listed in Alexandria via LeMat-Bulk.

Lattice parameters (Å, degrees): 3.9671 4.6973 8.2186 90.00 90.00 90.00
With the nearest neighbours (Å) after each atom.
Space group Pmm2 (No. 25)
Symmetry-distinct sites (fractional):
Ac (0.0000, 0.0000, 0.0000)  10 Zn 3.32-3.39, 2 Au 3.37
Ac (0.0000, 0.5000, 0.4879)  4 Au 3.33, 8 Zn 3.40-3.42
Zn (0.5000, 0.0000, 0.6707)  2 Zn 2.67, 1 Au 2.78
Zn (0.5000, 0.5000, 0.1522)  1 Zn 2.69, 2 Au 2.78
Zn (0.5000, 0.5000, 0.8250)  3 Zn 2.67-2.69
Au (0.5000, 0.0000, 0.3322)  3 Zn 2.78



[19]
First-principles (PBE) data for a relaxed structure of AcZn4Au8, as listed in Alexandria via LeMat-Bulk.

Lattice parameters (Å, degrees): 9.4535 9.4535 5.4332 90.00 90.00 90.00
With the nearest neighbours (Å) after each atom.
Space group I4/mmm (No. 139)
Symmetry-distinct sites (fractional):
Ac (0.0000, 0.0000, 0.0000)  12 Au 3.22-3.42, 8 Zn 3.61
Zn (0.2500, 0.2500, 0.2500)  2 Zn 2.72, 8 Au 2.74-2.86
Au (0.0000, 0.2201, 0.5000)  4 Zn 2.74, 6 Au 2.94-3.04
Au (0.0000, 0.3410, 0.0000)  4 Zn 2.86, 5 Au 2.95-3.04



[20]
First-principles (PBE) data for a relaxed structure of Ac5Zn2Au2, as listed in Alexandria via LeMat-Bulk.

Lattice parameters (Å, degrees): 17.6979 8.1515 8.1631 90.00 90.00 90.00
With the nearest neighbours (Å) after each atom.
Space group Cmce (No. 64)
Symmetry-distinct sites (fractional):
Ac (0.0000, 0.0000, 0.0000)  4 Zn 3.28, 2 Au 3.67
Ac (0.1435, 0.1748, 0.3293)  3 Au 3.20-3.30, 3 Zn 3.48-3.53
Zn (0.0000, 0.1142, 0.6142)  1 Zn 2.64
Au (0.2075, 0.0000, 0.0000)  6 Ac 3.20-3.30



Number 1: DFT formation energy -0.411 eV per atom. Number 2: DFT formation energy -0.430 eV per atom. Number 3: DFT formation energy -0.347 eV per atom. Number 4: DFT formation energy -0.529 eV per atom. Number 5: DFT formation energy -0.733 eV per atom. Number 6: DFT formation energy -0.289 eV per atom. Number 7: DFT formation energy -0.464 eV per atom. Number 8: DFT formation energy -0.058 eV per atom. Number 9: DFT formation energy -0.318 eV per atom. Number 10: DFT formation energy -0.458 eV per atom. Number 11: DFT formation energy -0.247 eV per atom. Number 12: DFT formation energy -0.437 eV per atom. Number 13: DFT formation energy -0.201 eV per atom. Number 14: DFT formation energy -0.691 eV per atom. Number 15: DFT formation energy -0.387 eV per atom. Number 16: DFT formation energy -0.673 eV per atom. Number 17: DFT formation energy -0.649 eV per atom. Number 18: DFT formation energy -0.471 eV per atom. Number 19: DFT formation energy -0.358 eV per atom. Number 20: DFT formation energy -0.433 eV per atom.